Density functional theory data (PBE) for an optimized crystal structure of RbHfCo2.

Its polymorph energy (0 for the lowest one) is 0.061 eV/atom. The density of states at the Fermi level is 16.45 states/eV per cell. For the energy of formation from the pure elements, the calculation gives 1.201 eV per atom. The value obtained for the mass density is 7.22 g cm⁻³.

The space group is I-42d (No. 122) and the conventional cell measures 7.3567, 7.3567 and 6.4920 Å, with angles of 90.00, 90.00 and 90.00 degrees. The inequivalent atoms are Rb at (0.0000, 0.0000, 0.0000), Hf at (0.0000, 0.0000, 0.5000) and Co at (0.1965, 0.2500, 0.6250).